# 1
5
Lattice="4.3957 0.0000 0.0000 0.0000 4.3957 0.0000 0.0000 0.0000 6.2458" Properties=species:S:1:pos:R:3 comment="RbRhSN2 PBE-GGA optimized geometry" relative_energy_ev_per_fu=10.05 e_form_raw_ev_per_fu=14.7 sg="P4/mmm (123)" n_ef_per_ev_atom=1.37 pbc="T T T"
Rb 0.0000 0.0000 0.0000
Rh 2.1978 2.1978 3.1229
S 0.0000 0.0000 3.1229
N 0.0000 2.1978 0.0000
N 2.1978 0.0000 0.0000

=====

# 2
5
Lattice="5.8155 0.0000 0.0000 0.0000 5.8155 0.0000 0.0000 0.0000 5.1002" Properties=species:S:1:pos:R:3 comment="RbRhS2N PBE-GGA optimized geometry" relative_energy_ev_per_fu=10.84 e_form_raw_ev_per_fu=12.0 sg="P4/mmm (123)" n_ef_per_ev_atom=1.73 pbc="T T T"
Rb 0.0000 0.0000 0.0000
Rh 2.9077 2.9077 2.5501
S 0.0000 2.9077 0.0000
S 2.9077 0.0000 0.0000
N 0.0000 0.0000 2.5501

=====

# 3
5
Lattice="4.0236 0.0000 0.0000 0.0000 4.0236 0.0000 0.0000 0.0000 5.1542" Properties=species:S:1:pos:R:3 comment="RbRhSN2 PBE-GGA optimized geometry" relative_energy_ev_per_fu=0.00 e_form_raw_ev_per_fu=4.6 sg="P4/mmm (123)" n_ef_per_ev_atom=1.03 pbc="T T T"
Rb 0.0000 0.0000 0.0000
Rh 2.0118 2.0118 2.5771
S 2.0118 2.0118 0.0000
N 0.0000 2.0118 2.5771
N 2.0118 0.0000 2.5771

=====

# 4
5
Lattice="5.2044 0.0000 0.0000 0.0000 5.2044 0.0000 0.0000 0.0000 3.6968" Properties=species:S:1:pos:R:3 comment="RbRhS2N PBE-GGA optimized geometry" relative_energy_ev_per_fu=0.00 e_form_raw_ev_per_fu=1.1 sg="P4/mmm (123)" n_ef_per_ev_atom=1.17 pbc="T T T"
Rb 0.0000 0.0000 0.0000
Rh 2.6022 2.6022 1.8484
S 0.0000 2.6022 1.8484
S 2.6022 0.0000 1.8484
N 2.6022 2.6022 0.0000

=====

# 5
5
Lattice="4.3923 0.0000 0.0000 0.0000 4.3923 0.0000 0.0000 0.0000 6.5867" Properties=species:S:1:pos:R:3 comment="RbRhSeN2 PBE-GGA optimized geometry" relative_energy_ev_per_fu=9.10 e_form_raw_ev_per_fu=14.1 sg="P4/mmm (123)" n_ef_per_ev_atom=1.43 pbc="T T T"
Rb 0.0000 0.0000 0.0000
Rh 2.1962 2.1962 3.2934
Se 0.0000 0.0000 3.2934
N 0.0000 2.1962 0.0000
N 2.1962 0.0000 0.0000

=====

# 6
5
Lattice="4.0808 0.0000 0.0000 0.0000 4.0808 0.0000 0.0000 0.0000 5.3555" Properties=species:S:1:pos:R:3 comment="RbRhSeN2 PBE-GGA optimized geometry" relative_energy_ev_per_fu=0.00 e_form_raw_ev_per_fu=5.0 sg="P4/mmm (123)" n_ef_per_ev_atom=1.04 pbc="T T T"
Rb 0.0000 0.0000 0.0000
Rh 2.0404 2.0404 2.6778
Se 2.0404 2.0404 0.0000
N 0.0000 2.0404 2.6778
N 2.0404 0.0000 2.6778

=====

# 7
5
Lattice="4.0737 0.0000 0.0000 0.0000 4.0737 0.0000 0.0000 0.0000 5.2283" Properties=species:S:1:pos:R:3 comment="RbTcRhN2 PBE-GGA optimized geometry" e_form_raw_ev_per_fu=8.9 sg="P4/mmm (123)" n_ef_per_ev_atom=1.24 pbc="T T T"
Rb 0.0000 0.0000 0.0000
Tc 2.0368 2.0368 0.0000
Rh 2.0368 2.0368 2.6141
N 0.0000 2.0368 2.6141
N 2.0368 0.0000 2.6141

=====

# 8
5
Lattice="5.2334 0.0000 0.0000 0.0000 5.2334 0.0000 0.0000 0.0000 5.8310" Properties=species:S:1:pos:R:3 comment="RbY2RhN PBE-GGA optimized geometry" e_form_raw_ev_per_fu=5.1 sg="P4/mmm (123)" n_ef_per_ev_atom=1.26 pbc="T T T"
Rb 0.0000 0.0000 0.0000
Y 0.0000 2.6167 2.9155
Y 2.6167 0.0000 2.9155
Rh 0.0000 0.0000 2.9155
N 2.6167 2.6167 0.0000

=====

# 9
5
Lattice="4.4637 0.0000 0.0000 0.0000 4.4637 0.0000 0.0000 0.0000 6.2850" Properties=species:S:1:pos:R:3 comment="RbYRhN2 PBE-GGA optimized geometry" e_form_raw_ev_per_fu=7.3 sg="P4/mmm (123)" n_ef_per_ev_atom=1.26 pbc="T T T"
Rb 0.0000 0.0000 0.0000
Y 0.0000 0.0000 3.1425
Rh 2.2319 2.2319 0.0000
N 0.0000 2.2319 3.1425
N 2.2319 0.0000 3.1425

=====

# 10
5
Lattice="6.6648 0.0000 0.0000 0.0000 6.6648 0.0000 0.0000 0.0000 4.8039" Properties=species:S:1:pos:R:3 comment="Rb2ZrRhN PBE-GGA optimized geometry" e_form_raw_ev_per_fu=7.0 sg="P4/mmm (123)" n_ef_per_ev_atom=1.58 pbc="T T T"
Rb 0.0000 3.3324 0.0000
Rb 3.3324 0.0000 0.0000
Zr 0.0000 0.0000 2.4020
Rh 0.0000 0.0000 0.0000
N 3.3324 3.3324 2.4020

=====

# 11
5
Lattice="5.7895 0.0000 0.0000 0.0000 5.7895 0.0000 0.0000 0.0000 5.7895" Properties=species:S:1:pos:R:3 comment="Rb3RuN PBE-GGA optimized geometry" e_form_raw_ev_per_fu=6.5 sg="Pm-3m (221)" n_ef_per_ev_atom=1.12 pbc="T T T"
Rb 0.0000 0.0000 2.8948
Rb 0.0000 2.8948 0.0000
Rb 2.8948 0.0000 0.0000
Ru 2.8948 2.8948 2.8948
N 0.0000 0.0000 0.0000

=====

# 12
4
Lattice="1.6697 0.9640 7.8175 -1.6697 0.9640 7.8175 0.0000 -1.9280 7.8175" Properties=species:S:1:pos:R:3 comment="RbRuN2 PBE-GGA optimized geometry" relative_energy_ev_per_fu=4.37 e_form_raw_ev_per_fu=4.9 sg="R-3m (166)" n_ef_per_ev_atom=0.73 pbc="T T T"
Rb 0.0000 0.0000 0.0000
Ru 0.0000 0.0000 11.7262
N 0.0000 0.0000 9.9342
N 0.0000 0.0000 13.5182

=====

# 13
8
Lattice="-6.0751 6.0751 1.8846 6.0751 -6.0751 1.8846 6.0751 6.0751 -1.8846" Properties=species:S:1:pos:R:3 comment="Rb2RuN PBE-GGA optimized geometry" e_form_raw_ev_per_fu=1.2 sg="I-42d (122)" n_ef_per_ev_atom=0.40 pbc="T T T"
Rb 0.4558 3.0376 0.4711
Rb -3.0376 5.6193 1.4134
Rb -0.4558 9.1127 0.4711
Rb 3.0376 6.5309 1.4134
Ru 6.0751 0.0000 0.9423
Ru 0.0000 0.0000 1.8846
N 0.0000 0.0000 0.0000
N 0.0000 6.0751 0.9423

=====

# 14
6
Lattice="3.7210 0.0000 0.0000 0.0000 3.7210 0.0000 0.0000 0.0000 10.5224" Properties=species:S:1:pos:R:3 comment="RbRuN PBE-GGA optimized geometry" relative_energy_ev_per_fu=0.00 e_form_raw_ev_per_fu=0.7 sg="P4/nmm (129)" n_ef_per_ev_atom=0.64 pbc="T T T"
Rb 0.9302 0.9302 2.3459
Rb 2.7907 2.7907 8.1765
Ru 0.9302 2.7907 5.2612
Ru 2.7907 0.9302 5.2612
N 0.9302 0.9302 6.2456
N 2.7907 2.7907 4.2767

=====

# 15
4
Lattice="1.6377 0.9455 6.8605 -1.6377 0.9455 6.8605 0.0000 -1.8910 6.8605" Properties=species:S:1:pos:R:3 comment="RbRuN2 PBE-GGA optimized geometry" relative_energy_ev_per_fu=2.68 e_form_raw_ev_per_fu=3.2 sg="R-3m (166)" n_ef_per_ev_atom=0.80 pbc="T T T"
Rb 0.0000 0.0000 0.0000
Ru 0.0000 0.0000 10.2908
N 0.0000 0.0000 2.5909
N 0.0000 0.0000 17.9908

=====

# 16
10
Lattice="1.7358 -10.1327 0.0000 1.7358 10.1327 0.0000 0.0000 0.0000 6.3891" Properties=species:S:1:pos:R:3 comment="Rb2RuN2 PBE-GGA optimized geometry" e_form_raw_ev_per_fu=0.4 sg="Cmc2_1 (36)" n_ef_per_ev_atom=0.02 pbc="T T T"
Rb 1.7358 9.5488 3.1946
Rb 1.7358 6.1431 4.1319
Rb 1.7358 -6.1431 0.9374
Rb 1.7358 -9.5488 0.0000
Ru 1.7358 2.6219 3.7241
Ru 1.7358 -2.6219 0.5295
N 1.7358 7.0983 1.2164
N 1.7358 1.7832 2.2035
N 1.7358 -1.7832 5.3981
N 1.7358 -7.0983 4.4110

=====

# 17
12
Lattice="10.7249 0.0000 0.0000 0.0000 5.3986 0.0000 0.0000 0.0000 5.4972" Properties=species:S:1:pos:R:3 comment="RbRuN PBE-GGA optimized geometry" relative_energy_ev_per_fu=0.22 e_form_raw_ev_per_fu=0.9 sg="Pbcm (57)" n_ef_per_ev_atom=0.59 pbc="T T T"
Rb 2.3262 0.0154 1.3743
Rb 2.3262 2.6839 4.1229
Rb 8.3987 2.7147 1.3743
Rb 8.3987 5.3832 4.1229
Ru 5.0909 0.1030 4.1229
Ru 5.0909 2.5963 1.3743
Ru 5.6340 2.8023 4.1229
Ru 5.6340 5.2955 1.3743
N 4.5845 1.3496 0.0000
N 4.5845 1.3496 2.7486
N 6.1404 4.0489 0.0000
N 6.1404 4.0489 2.7486

=====

# 18
4
Lattice="0.0000 2.9603 2.9603 2.9603 0.0000 2.9603 2.9603 2.9603 0.0000" Properties=species:S:1:pos:R:3 comment="RbRuN2 PBE-GGA optimized geometry" relative_energy_ev_per_fu=7.93 e_form_raw_ev_per_fu=8.5 sg="Fm-3m (225)" n_ef_per_ev_atom=1.24 pbc="T T T"
Rb 0.0000 0.0000 0.0000
Ru 2.9603 2.9603 2.9603
N 1.4801 1.4801 1.4801
N 4.4404 4.4404 4.4404

=====

# 19
8
Lattice="-2.9713 2.9713 4.1756 2.9713 -2.9713 4.1756 2.9713 2.9713 -4.1756" Properties=species:S:1:pos:R:3 comment="RbRuN2 PBE-GGA optimized geometry" relative_energy_ev_per_fu=0.00 e_form_raw_ev_per_fu=0.5 sg="I-42d (122)" n_ef_per_ev_atom=0.51 pbc="T T T"
Rb 0.0000 0.0000 0.0000
Rb 0.0000 2.9713 2.0878
Ru 2.9713 0.0000 2.0878
Ru 0.0000 0.0000 4.1756
N 1.4857 -0.4809 3.1317
N 2.4904 1.4857 1.0439
N 1.4857 3.4522 -1.0439
N 0.4809 1.4857 5.2195

=====

# 20
5
Lattice="5.4260 0.0000 0.0000 0.0000 5.4260 0.0000 0.0000 0.0000 3.7063" Properties=species:S:1:pos:R:3 comment="RbRuSe2N PBE-GGA optimized geometry" relative_energy_ev_per_fu=0.00 e_form_raw_ev_per_fu=0.4 sg="P4/mmm (123)" n_ef_per_ev_atom=0.79 pbc="T T T"
Rb 0.0000 0.0000 0.0000
Ru 2.7130 2.7130 1.8531
Se 0.0000 2.7130 1.8531
Se 2.7130 0.0000 1.8531
N 2.7130 2.7130 0.0000

=====

# 21
5
Lattice="5.6964 0.0000 0.0000 0.0000 5.6964 0.0000 0.0000 0.0000 4.2273" Properties=species:S:1:pos:R:3 comment="RbRuSe2N PBE-GGA optimized geometry" relative_energy_ev_per_fu=12.21 e_form_raw_ev_per_fu=12.6 sg="P4/mmm (123)" n_ef_per_ev_atom=1.98 pbc="T T T"
Rb 0.0000 0.0000 0.0000
Ru 2.8482 2.8482 2.1136
Se 0.0000 2.8482 0.0000
Se 2.8482 0.0000 0.0000
N 0.0000 0.0000 2.1136

=====

# 22
5
Lattice="6.9832 0.0000 0.0000 0.0000 6.9832 0.0000 0.0000 0.0000 5.0069" Properties=species:S:1:pos:R:3 comment="Rb2SnRuN PBE-GGA optimized geometry" e_form_raw_ev_per_fu=8.7 sg="P4/mmm (123)" n_ef_per_ev_atom=3.15 pbc="T T T"
Rb 0.0000 3.4916 0.0000
Rb 3.4916 0.0000 0.0000
Sn 0.0000 0.0000 0.0000
Ru 0.0000 0.0000 2.5035
N 3.4916 3.4916 2.5035

=====

# 23
5
Lattice="4.4159 0.0000 0.0000 0.0000 4.4159 0.0000 0.0000 0.0000 6.1593" Properties=species:S:1:pos:R:3 comment="RbSnRuN2 PBE-GGA optimized geometry" e_form_raw_ev_per_fu=15.1 sg="P4/mmm (123)" n_ef_per_ev_atom=1.02 pbc="T T T"
Rb 0.0000 0.0000 0.0000
Sn 0.0000 0.0000 3.0796
Ru 2.2079 2.2079 3.0796
N 0.0000 2.2079 0.0000
N 2.2079 0.0000 0.0000

=====

# 24
5
Lattice="4.0984 0.0000 0.0000 0.0000 4.0984 0.0000 0.0000 0.0000 6.7712" Properties=species:S:1:pos:R:3 comment="RbTeRuN2 PBE-GGA optimized geometry" relative_energy_ev_per_fu=10.07 e_form_raw_ev_per_fu=15.2 sg="P4/mmm (123)" n_ef_per_ev_atom=1.83 pbc="T T T"
Rb 0.0000 0.0000 0.0000
Te 0.0000 0.0000 3.3856
Ru 2.0492 2.0492 3.3856
N 0.0000 2.0492 0.0000
N 2.0492 0.0000 0.0000

=====

# 25
5
Lattice="4.1457 0.0000 0.0000 0.0000 4.1457 0.0000 0.0000 0.0000 5.5742" Properties=species:S:1:pos:R:3 comment="RbTeRuN2 PBE-GGA optimized geometry" relative_energy_ev_per_fu=0.00 e_form_raw_ev_per_fu=5.2 sg="P4/mmm (123)" n_ef_per_ev_atom=0.82 pbc="T T T"
Rb 0.0000 0.0000 0.0000
Te 2.0728 2.0728 0.0000
Ru 2.0728 2.0728 2.7871
N 0.0000 2.0728 2.7871
N 2.0728 0.0000 2.7871

=====

# 26
5
Lattice="4.7101 0.0000 0.0000 0.0000 4.7101 0.0000 0.0000 0.0000 5.2881" Properties=species:S:1:pos:R:3 comment="RbTlRuN2 PBE-GGA optimized geometry" e_form_raw_ev_per_fu=10.8 sg="P4/mmm (123)" n_ef_per_ev_atom=0.81 pbc="T T T"
Rb 0.0000 0.0000 0.0000
Tl 2.3551 2.3551 2.6441
Ru 2.3551 2.3551 0.0000
N 0.0000 2.3551 2.6441
N 2.3551 0.0000 2.6441

=====

# 27
5
Lattice="6.7614 0.0000 0.0000 0.0000 6.7614 0.0000 0.0000 0.0000 3.6801" Properties=species:S:1:pos:R:3 comment="Rb2RuWN PBE-GGA optimized geometry" e_form_raw_ev_per_fu=8.3 sg="P4/mmm (123)" n_ef_per_ev_atom=0.95 pbc="T T T"
Rb 0.0000 3.3807 0.0000
Rb 3.3807 0.0000 0.0000
Ru 0.0000 0.0000 0.0000
W 3.3807 3.3807 1.8400
N 0.0000 0.0000 1.8400

=====

# 28
11
Lattice="6.8064 0.0000 0.0000 1.0655 6.7822 0.0000 1.4786 1.4147 7.2371" Properties=species:S:1:pos:R:3 comment="RbS8N2 PBE-GGA optimized geometry" e_form_raw_ev_per_fu=2.4 sg="P-1 (2)" n_ef_per_ev_atom=0.29 pbc="T T T"
Rb 0.0000 0.0000 0.0000
S 2.2991 5.7675 4.3608
S 2.1997 1.9575 3.4383
S 3.4389 6.7304 2.9137
S 4.7438 4.1759 6.2488
S 4.6067 4.0210 0.9882
S 5.9117 1.4665 4.3233
S 7.1509 6.2394 3.7987
S 7.0514 2.4294 2.8762
N 3.6577 3.2577 6.7954
N 5.6929 4.9392 0.4417